# 1
PmPr2Dy8: relaxed, GGA-PBE.

Cell lengths 5.561, 8.156, 9.426 Å; angles 115.64, 107.16, 90.00 degrees
Fractional positions:
Pr 0.799 0.299 0.599
Pr 0.201 0.701 0.401
Dy 0.637 0.844 0.274
Dy 0.637 0.430 0.274
Dy 0.840 0.840 0.680
Dy 0.363 0.570 0.726
Dy 0.000 0.293 0.000
Dy 0.160 0.160 0.320
Dy 0.363 0.156 0.726
Dy 0.000 0.707 0.000
Pm 0.500 0.000 0.000

Size of the total moment in μB per formula unit: 0.00
ΔE to the lowest computed polymorph in eV/f.u.: 0.00

---

# 2
Pm2Pr2Dy7: relaxed, GGA-PBE.

Cell lengths 6.123, 8.129, 8.129 Å; angles 91.75, 73.68, 73.68 degrees
Fractional positions:
Dy 0.424 0.232 0.232
Dy 0.576 0.768 0.768
Dy 0.176 0.065 0.589
Dy 0.176 0.589 0.065
Dy 0.000 0.000 0.000
Dy 0.824 0.935 0.411
Dy 0.824 0.411 0.935
Pm 0.500 0.212 0.788
Pm 0.500 0.788 0.212
Pr 0.811 0.402 0.402
Pr 0.189 0.598 0.598

Size of the total moment in μB per formula unit: 0.00
Total energy in eV per atom: -4.514

---

# 3
Pm3PrDy3: relaxed, GGA-PBE.

Cell lengths 8.937, 8.937, 8.937 Å; angles 58.58, 58.58, 58.58 degrees
Fractional positions:
Pm 0.069 0.722 0.567
Pm 0.433 0.931 0.278
Pm 0.931 0.278 0.433
Pm 0.722 0.567 0.069
Pm 0.278 0.433 0.931
Pm 0.567 0.069 0.722
Pr 0.346 0.346 0.346
Pr 0.654 0.654 0.654
Dy 0.714 0.173 0.937
Dy 0.063 0.286 0.827
Dy 0.937 0.714 0.173
Dy 0.173 0.937 0.714
Dy 0.827 0.063 0.286
Dy 0.286 0.827 0.063

Size of the total moment in μB per formula unit: 0.00
ΔE to the lowest computed polymorph in eV/f.u.: 0.00

---

# 4
PmPr2Dy7: relaxed, GGA-PBE.

Cell lengths 8.012, 13.877, 9.490 Å; angles 122.43, 126.24, 22.53 degrees
Fractional positions:
Dy 0.199 0.401 0.198
Dy 0.303 0.099 0.801
Dy 0.801 0.599 0.802
Dy 0.897 0.301 0.400
Dy 0.697 0.901 0.199
Dy 0.500 0.500 0.000
Dy 0.103 0.699 0.600
Pr 0.399 0.800 0.398
Pr 0.601 0.200 0.602
Pm 0.000 0.000 0.000

Size of the total moment in μB per formula unit: 0.00
ΔE to the lowest computed polymorph in eV/f.u.: 0.00

---

# 5
Pm4Pr4Dy: relaxed, GGA-PBE.

Cell lengths 6.983, 6.983, 12.935 Å; angles 79.54, 74.85, 31.53 degrees
Fractional positions:
Pr 0.593 0.824 0.728
Pr 0.407 0.176 0.272
Pr 0.164 0.769 0.109
Pr 0.836 0.231 0.891
Pm 0.107 0.141 0.530
Pm 0.691 0.468 0.279
Pm 0.893 0.859 0.470
Pm 0.309 0.532 0.721
Dy 0.500 0.000 0.000

Size of the total moment in μB per formula unit: 0.00
ΔE to the lowest computed polymorph in eV/f.u.: 0.84

---

# 6
Pm2PrDy: relaxed, GGA-PBE.

Cell lengths 3.649, 3.649, 12.034 Å; angles 81.28, 81.28, 60.00 degrees
Fractional positions:
Pm 0.081 0.081 0.756
Pm 0.252 0.252 0.244
Dy 0.667 0.667 0.000
Pr 0.500 0.500 0.500

Size of the total moment in μB per formula unit: 0.00
ΔE to the lowest computed polymorph in eV/f.u.: 0.01

---

# 7
Pm4Pr3Dy4: relaxed, GGA-PBE.

Cell lengths 3.635, 9.502, 12.213 Å; angles 112.89, 98.56, 90.00 degrees
Fractional positions:
Pm 0.354 0.176 0.707
Pm 0.646 0.468 0.293
Pm 0.646 0.824 0.293
Pm 0.354 0.532 0.707
Dy 0.500 0.818 0.000
Dy 0.741 0.241 0.483
Dy 0.259 0.759 0.517
Dy 0.500 0.182 0.000
Pr 0.000 0.500 0.000
Pr 0.891 0.891 0.782
Pr 0.109 0.109 0.218

Size of the total moment in μB per formula unit: 0.00
ΔE to the lowest computed polymorph in eV/f.u.: 0.00

---

# 8
Pm2PrDy8: relaxed, GGA-PBE.

Cell lengths 5.569, 10.169, 10.169 Å; angles 40.42, 92.72, 92.72 degrees
Fractional positions:
Dy 0.238 0.546 0.546
Dy 0.233 0.187 0.187
Dy 0.267 0.135 0.602
Dy 0.733 0.865 0.398
Dy 0.733 0.398 0.865
Dy 0.762 0.454 0.454
Dy 0.267 0.602 0.135
Dy 0.767 0.813 0.813
Pr 0.000 0.000 0.000
Pm 0.252 0.716 0.716
Pm 0.748 0.284 0.284

Size of the total moment in μB per formula unit: 0.00
ΔE to the lowest computed polymorph in eV/f.u.: 0.44